Density functional theory data (PBEsol) for a relaxed SrTaCu crystal.

Properties
As for the formation enthalpy at 0 K: 1.7 eV per formula unit. For the mass density, the calculation gives 8.656 g/cm3. The energy above the most stable polymorph in this dataset is 0 meV per atom.

a b c (Å): 3.1910 3.1910 12.5142
angles (deg): 90.00 90.00 90.00
With the nearest neighbours (Å) after each atom.
Space group I4mm (No. 107)
Unique sites:
Sr  0.0000  0.0000  0.0000 (multiplicity 2)  4 Sr 3.19, 4 Cu 3.25, 4 Ta 3.48
Ta  0.0000  0.0000  0.2886 (multiplicity 2)  4 Cu 2.59
Cu  0.0000  0.0000  0.6871 (multiplicity 2)  4 Ta 2.59

***

Density functional theory data (PBEsol) for a relaxed SrTa2Cu crystal.

Properties
As for the formation enthalpy at 0 K: 5.2 eV per formula unit. For the mass density, the calculation gives 11.566 g/cm3. The energy above the most stable polymorph in this dataset is 823 meV per atom.

a b c (Å): 4.9348 4.9348 3.0248
angles (deg): 90.00 90.00 90.00
With the nearest neighbours (Å) after each atom.
Space group P4/mmm (No. 123)
Unique sites:
Sr  0.0000  0.0000  0.0000 (multiplicity 1)  8 Ta 2.89, 2 Sr 3.02
Ta  0.0000  0.5000  0.5000 (multiplicity 2)  4 Cu 2.89, 4 Sr 2.89, 2 Ta 3.02
Cu  0.5000  0.5000  0.0000 (multiplicity 1)  8 Ta 2.89, 2 Cu 3.02

***

What is the formation enthalpy at 0 K in the second record?
5.2 eV per formula unit

***

Which value of formation enthalpy at 0 K does entry 1 give?
1.7 eV per formula unit